Entry from the Open Quantum Materials Database: crystalline Ba2CuGe at its relaxed geometry (PBE-GGA).

Values from the calculation:
- crystal system = cubic
- raw total energy (Ha/atom) = -0.1085
- space group = F-43m (216)

POSCAR file:
```
Ba2CuGe
1.0
0.000 3.896 3.896
3.896 0.000 3.896
3.896 3.896 0.000
Ba Cu Ge
2 1 1
Cartesian
0.000 0.000 0.000
1.948 1.948 1.948
3.896 3.896 3.896
5.844 5.844 5.844
```